Ac6Ge3S | GGA-PBE | optimized geometry

a b c (Å): 7.246 8.563 11.356
angles (deg): 90.00 91.63 90.00
Positions (direct):
Ac  0.657  0.179  0.925
Ac  0.653  0.184  0.575
Ac  0.658  0.457  0.254
Ac  0.342  0.543  0.746
Ac  0.347  0.816  0.425
Ac  0.343  0.821  0.075
Ac  0.157  0.321  0.425
Ac  0.153  0.316  0.075
Ac  0.158  0.043  0.754
Ac  0.842  0.957  0.246
Ac  0.847  0.684  0.925
Ac  0.843  0.679  0.575
Ge  0.569  0.877  0.746
Ge  0.500  0.500  0.000
Ge  0.431  0.123  0.254
Ge  0.069  0.623  0.246
Ge  0.000  0.000  0.500
Ge  0.931  0.377  0.754
S  0.500  0.500  0.500
S  0.000  0.000  0.000

Output
Formation energy without anion corrections, kJ per mole of atoms: -78.4
Volume, Å³ per cell: 704.33
N(E_F), states/eV per cell: 17.60
Size of the total moment, μB per formula unit: 0.55